Entry from Alexandria: crystalline La2RhPb8 at its relaxed geometry (PBE).

Structure (POSCAR):
```
La2RhPb8
1.0
4.9425 0.0000 0.0000
0.0000 4.9425 0.0000
0.0000 0.0000 12.9969
La Rh Pb
2 1 8
direct
0.0000 0.0000 0.1910
0.0000 0.0000 0.8090
0.0000 0.0000 0.5000
0.0000 0.5000 0.0000
0.0000 0.5000 0.3787
0.0000 0.5000 0.6213
0.5000 0.0000 0.0000
0.5000 0.0000 0.3787
0.5000 0.0000 0.6213
0.5000 0.5000 0.1908
0.5000 0.5000 0.8092
```

***

Entry from Alexandria: crystalline LaRh2Pb4 at its relaxed geometry (PBE).

Structure (POSCAR):
```
LaRh2Pb4
1.0
2.5463 -6.9836 0.0000
2.5463 6.9836 0.0000
0.0000 0.0000 5.0725
La Rh Pb
1 2 4
direct
0.0000 0.0000 0.0000
0.4058 0.5942 0.5000
0.5942 0.4058 0.5000
0.1710 0.8290 0.5000
0.3300 0.6700 0.0000
0.6700 0.3300 0.0000
0.8290 0.1710 0.5000
```

***

Entry from Alexandria: crystalline La4RhPb at its relaxed geometry (PBE).

Energy relative to the lowest polymorph listed for this composition (eV per atom): 0.792

Structure (POSCAR):
```
La4RhPb
1.0
0.0000 4.4813 4.4813
4.4813 0.0000 4.4813
4.4813 4.4813 0.0000
La Rh Pb
4 1 1
direct
0.1254 0.1254 0.1254
0.1254 0.1254 0.6238
0.1254 0.6238 0.1254
0.6238 0.1254 0.1254
0.5000 0.5000 0.5000
0.7500 0.7500 0.7500
```

***

Entry from Alexandria: crystalline LaRh2Pb2 at its relaxed geometry (PBE).

Structure (POSCAR):
```
LaRh2Pb2
1.0
8.3827 0.0000 0.0000
0.0000 8.3827 0.0000
0.0000 0.0000 3.1779
La Rh Pb
2 4 4
direct
0.0000 0.0000 0.0000
0.5000 0.5000 0.0000
0.1640 0.3360 0.5000
0.3360 0.8360 0.5000
0.6640 0.1640 0.5000
0.8360 0.6640 0.5000
0.1332 0.6332 0.0000
0.3668 0.1332 0.0000
0.6332 0.8668 0.0000
0.8668 0.3668 0.0000
```

***

Entry from Alexandria: crystalline La3Rh3Pb at its relaxed geometry (PBE).

Structure (POSCAR):
```
La3Rh3Pb
1.0
8.9382 0.0000 0.0000
-4.4691 7.7407 0.0000
0.0000 0.0000 5.6818
La Rh Pb
6 6 2
direct
0.0504 0.3456 0.2500
0.2952 0.9496 0.2500
0.3456 0.2952 0.7500
0.6544 0.7048 0.2500
0.7048 0.0504 0.7500
0.9496 0.6544 0.7500
0.0336 0.3593 0.7500
0.3257 0.9664 0.7500
0.3593 0.3257 0.2500
0.6407 0.6743 0.7500
0.6743 0.0336 0.2500
0.9664 0.6407 0.2500
0.3333 0.6667 0.7500
0.6667 0.3333 0.2500
```

***

Entry from Alexandria: crystalline La2Rh3Pb5 at its relaxed geometry (PBE).

Structure (POSCAR):
```
La2Rh3Pb5
1.0
2.3346 -13.8072 0.0000
2.3346 13.8072 0.0000
0.0000 0.0000 7.5563
La Rh Pb
4 6 10
direct
0.0275 0.9725 0.5000
0.3295 0.6705 0.4373
0.6705 0.3295 0.9373
0.9725 0.0275 0.0000
0.1042 0.8958 0.7360
0.2756 0.7244 0.9353
0.4512 0.5488 0.7144
0.5488 0.4512 0.2144
0.7244 0.2756 0.4353
0.8958 0.1042 0.2360
0.0951 0.9049 0.1146
0.2050 0.7950 0.6486
0.2096 0.7904 0.2253
0.3766 0.6234 0.9767
0.4524 0.5476 0.3319
0.5476 0.4524 0.8319
0.6234 0.3766 0.4767
0.7904 0.2096 0.7253
0.7950 0.2050 0.1486
0.9049 0.0951 0.6146
```

***

| no. | total energy (eV per cell) | DFT formation energy (kJ per mole of atoms) |
| --- | --- | --- |
| 1 | -50.5 | -32.2 |
| 2 | -35.3 | -11.4 |
| 3 | -29.1 | 27.5 |
| 4 | -55.3 | -11.3 |
| 5 | -87.9 | -47.1 |
| 6 | -110.1 | -44.6 |